## A
# MoH2Ru2 | Alexandria | GGA-PBE | optimized geometry
# total magnetization: 0.0 μB per cell
data_MoH2Ru2
_cell_length_a 2.868
_cell_length_b 2.868
_cell_length_c 12.073
_cell_angle_alpha 90.00
_cell_angle_beta 90.00
_cell_angle_gamma 90.00
_space_group_name_H-M_alt 'I 4/m m m'
_space_group_IT_number 139
_space_group_name_Hall '-I 4 2'
loop_
_atom_site_label
_atom_site_fract_x
_atom_site_fract_y
_atom_site_fract_z
_atom_site_occupancy
Mo1 0.000 0.000 0.000 1
H1 0.000 0.500 0.250 1
Ru1 0.000 0.000 0.350 1

=====

## B
# MoH2Ru2 | Alexandria | GGA-PBE | optimized geometry
# total magnetization: 0.0 μB per cell
data_MoH2Ru2
_cell_length_a 5.989
_cell_length_b 5.989
_cell_length_c 2.854
_cell_angle_alpha 90.00
_cell_angle_beta 90.00
_cell_angle_gamma 90.00
_space_group_name_H-M_alt 'P 4/m b m'
_space_group_IT_number 127
_space_group_name_Hall '-P 4 2ab'
loop_
_atom_site_label
_atom_site_fract_x
_atom_site_fract_y
_atom_site_fract_z
_atom_site_occupancy
Mo1 0.000 0.000 0.000 1
H1 0.216 0.284 0.000 1
Ru1 0.145 0.645 0.500 1

=====

## C
# MoH2Ru2 | Alexandria | GGA-PBE | optimized geometry
# total magnetization: 0.0 μB per cell
data_MoH2Ru2
_cell_length_a 2.8145
_cell_length_b 2.8145
_cell_length_c 6.9255
_cell_angle_alpha 90.00
_cell_angle_beta 90.00
_cell_angle_gamma 120.00
_space_group_name_H-M_alt 'P -3 m 1'
_space_group_IT_number 164
_space_group_name_Hall '-P 3 2"'
loop_
_atom_site_label
_atom_site_fract_x
_atom_site_fract_y
_atom_site_fract_z
_atom_site_occupancy
Mo1 0.0000 0.0000 0.0000 1
H1 0.3333 0.6667 0.1830 1
Ru1 0.3333 0.6667 0.6602 1

=====

On energetic grounds, C is preferred over the next structure by 4.3 kJ/mol of atoms.

=====

## A
# TaMoHRu2 | Alexandria | GGA-PBE | optimized geometry
# total magnetization: 0.0 μB per cell
data_TaMoHRu2
_cell_length_a 3.991
_cell_length_b 3.991
_cell_length_c 3.988
_cell_angle_alpha 90.00
_cell_angle_beta 90.00
_cell_angle_gamma 90.00
_space_group_name_H-M_alt 'P 4/m m m'
_space_group_IT_number 123
_space_group_name_Hall '-P 4 2'
loop_
_atom_site_label
_atom_site_fract_x
_atom_site_fract_y
_atom_site_fract_z
_atom_site_occupancy
Ta1 0.000 0.000 0.000 1
Mo1 0.500 0.500 0.000 1
H1 0.500 0.500 0.500 1
Ru1 0.000 0.500 0.500 1

=====

## B
# TaMoHRu2 | Alexandria | GGA-PBE | optimized geometry
# total magnetization: 0.0 μB per cell
data_TaMoHRu2
_cell_length_a 3.975
_cell_length_b 3.975
_cell_length_c 4.024
_cell_angle_alpha 90.00
_cell_angle_beta 90.00
_cell_angle_gamma 90.00
_space_group_name_H-M_alt 'P 4/m m m'
_space_group_IT_number 123
_space_group_name_Hall '-P 4 2'
loop_
_atom_site_label
_atom_site_fract_x
_atom_site_fract_y
_atom_site_fract_z
_atom_site_occupancy
Ta1 0.000 0.000 0.000 1
Mo1 0.500 0.500 0.000 1
H1 0.000 0.000 0.500 1
Ru1 0.000 0.500 0.500 1

=====

On energetic grounds, A is preferred over the next structure by 2.9 kJ/mol of atoms.